Below is RbNaAl2F after structural relaxation, with properties calculated at the PBE level.

Geometry as POSCAR:
```
RbNaAl2F
1.0
5.236 0.000 0.000
0.000 5.236 0.000
0.000 0.000 8.246
Rb Na Al F
1 1 2 1
Cartesian
0.000 0.000 0.000
0.000 0.000 4.123
0.000 2.618 4.123
2.618 0.000 4.123
2.618 2.618 0.000
```

Space group: P4/mmm (123)
Total magnetic moment: 0.000 μB/cell
Energy relative to the elements, uncorrected: 220.7 meV per atom

***

Below is Pr2Er3Mg after structural relaxation, with properties calculated at the PBE level.

Geometry as POSCAR:
```
Pr2Er3Mg
1.0
-1.662 5.030 5.896
1.662 -5.030 5.896
1.662 5.030 -5.896
Pr Er Mg
2 3 1
Cartesian
0.000 1.719 0.000
0.000 8.342 0.000
0.000 0.000 3.191
0.000 3.377 2.931
0.000 6.683 2.931
0.000 5.030 0.142
```

Space group: Imm2 (44)
E above lowest polymorph: 5.78 kcal/mol of atoms
Formation energy from the elements: 0.380 eV per atom
Total magnetic moment: 0.003 μB/cell

***

Below is HgSb2TeAu after structural relaxation, with properties calculated at the PBE level.

Geometry as POSCAR:
```
HgSb2TeAu
1.0
5.467 0.000 0.000
0.000 5.467 0.000
0.000 0.000 5.517
Hg Sb Te Au
1 2 1 1
Cartesian
0.000 0.000 0.000
0.000 2.733 2.759
2.733 0.000 2.759
2.733 2.733 0.000
2.733 2.733 2.759
```

Space group: P4/mmm (123)
E above lowest polymorph: 0.00 kcal/mol of atoms
Total magnetic moment: 0.000 μB/cell
Energy relative to the elements, uncorrected: 534.4 meV per atom

***

Below is CuHg2As after structural relaxation, with properties calculated at the PBE level.

Geometry as POSCAR:
```
CuHg2As
1.0
2.800 -5.215 0.000
2.800 5.215 0.000
-1.600 0.000 2.828
Cu Hg As
1 2 1
Cartesian
0.000 0.000 0.000
1.400 2.607 0.000
1.400 -2.607 0.000
2.800 0.000 0.000
```

Space group: C2/m (12)
Formation energy from the elements: 0.352 eV per atom
Total magnetic moment: 0.000 μB/cell

***

Below is MoAs2 after structural relaxation, with properties calculated at the PBE level.

Geometry as POSCAR:
```
MoAs2
1.0
1.679 -6.520 0.000
1.679 6.520 0.000
0.000 0.000 4.842
Mo As
2 4
Cartesian
1.679 3.935 3.632
1.679 -3.935 1.211
1.679 4.574 1.211
1.679 0.557 1.211
1.679 -0.557 3.632
1.679 -4.574 3.632
```

Space group: Cmcm (63)
Formation energy from the elements: -0.105 eV per atom
Total magnetic moment: 0.000 μB/cell

***

Below is Dy2CdRu after structural relaxation, with properties calculated at the PBE level.

Geometry as POSCAR:
```
Dy2CdRu
1.0
1.852 1.069 8.545
-1.852 1.069 8.545
0.000 -2.138 8.545
Dy Cd Ru
2 1 1
Cartesian
0.000 0.000 6.017
0.000 0.000 19.619
0.000 0.000 0.000
0.000 0.000 12.818
```

Space group: R-3m (166)
E above lowest polymorph: 5.48 kcal/mol of atoms
Formation energy from the elements: -0.168 eV per atom
Total magnetic moment: 0.000 μB/cell

***

Below is Er4C2NO after structural relaxation, with properties calculated at the PBE level.

Geometry as POSCAR:
```
Er4C2NO
1.0
-2.452 2.452 4.940
2.452 -2.452 4.940
2.452 2.452 -4.940
Er C N O
4 2 1 1
Cartesian
0.000 0.000 2.422
0.000 2.452 0.005
0.000 0.000 7.458
0.000 2.452 4.935
2.452 0.000 2.470
0.000 0.000 4.940
0.000 0.000 0.000
0.000 2.452 2.470
```

Space group: I-4m2 (119)
Total magnetic moment: 0.000 μB/cell
Energy relative to the elements, uncorrected: -1352.6 meV per atom

***

Below is NaAlHg2Cl4 after structural relaxation, with properties calculated at the PBE level.

Geometry as POSCAR:
```
NaAlHg2Cl4
1.0
6.629 0.000 0.000
3.245 6.066 0.000
1.598 2.013 6.532
Na Al Hg Cl
1 1 2 4
Cartesian
0.000 0.000 0.000
8.255 6.048 4.407
1.631 2.195 1.899
4.778 3.849 2.013
3.702 6.021 5.006
4.088 1.774 5.196
7.249 4.279 5.139
8.080 6.071 2.246
```

Space group: P1 (1)
Total magnetic moment: 0.000 μB/cell
Energy relative to the elements, uncorrected: -1198.2 meV per atom

***

Below is CeDyTh2 after structural relaxation, with properties calculated at the PBE level.

Geometry as POSCAR:
```
CeDyTh2
1.0
1.720 0.993 12.370
-1.720 0.993 12.370
0.000 -1.986 12.370
Ce Dy Th
1 1 2
Cartesian
0.000 0.000 0.000
0.000 0.000 18.555
0.000 0.000 15.312
0.000 0.000 21.798
```

Space group: R-3m (166)
E above lowest polymorph: 5.14 kcal/mol of atoms
Formation energy from the elements: 0.254 eV per atom
Total magnetic moment: 0.194 μB/cell

***

Below is Sr3CaC2N6 after structural relaxation, with properties calculated at the PBE level.

Geometry as POSCAR:
```
Sr3CaC2N6
1.0
5.661 0.000 0.000
-2.831 4.903 0.000
0.000 0.000 6.620
Sr Ca C N
3 1 2 6
Cartesian
0.000 0.000 0.000
0.000 3.269 4.440
2.831 1.634 2.180
0.000 0.000 3.310
0.000 3.269 1.756
2.831 1.634 4.864
0.000 1.913 1.821
-1.174 3.946 1.821
1.657 0.957 4.798
1.174 3.946 1.821
4.005 0.957 4.798
2.831 2.990 4.798
```

Space group: P-3m1 (164)
Total magnetic moment: 0.000 μB/cell
Energy relative to the elements, uncorrected: -588.4 meV per atom

***

Below is Sr2SiSe after structural relaxation, with properties calculated at the PBE level.

Geometry as POSCAR:
```
Sr2SiSe
1.0
-2.216 2.216 6.060
2.216 -2.216 6.060
2.216 2.216 -6.060
Sr Si Se
2 1 1
Cartesian
0.000 0.000 0.000
0.000 2.216 3.030
0.000 0.000 6.060
2.216 0.000 3.030
```

Space group: I-4m2 (119)
E above lowest polymorph: 6.26 kcal/mol of atoms
Total magnetic moment: 0.000 μB/cell
Energy relative to the elements, uncorrected: -658.9 meV per atom

***

Below is Ca4IN2 after structural relaxation, with properties calculated at the PBE level.

Geometry as POSCAR:
```
Ca4IN2
1.0
-3.949 3.961 5.593
3.949 -3.961 5.593
3.949 3.961 -5.593
Ca I N
8 2 4
Cartesian
0.000 0.433 2.492
1.549 1.981 0.302
2.400 -1.981 5.894
3.949 0.433 3.101
0.000 3.528 2.492
1.549 5.942 -0.302
2.400 1.981 5.291
3.949 3.528 3.101
3.949 1.981 -1.412
0.000 1.981 7.004
0.000 0.000 0.000
-1.975 1.981 2.796
0.000 3.961 0.000
1.975 1.981 2.796
```

Space group: Imma (74)
Total magnetic moment: 0.002 μB/cell
Energy relative to the elements, uncorrected: -724.8 meV per atom